Entry 1:
The following is a SCAN calculation of InPAu2 at its PBEsol-relaxed geometry, from Alexandria.

ρ: 12.60 g/cm3
E: -45.303 eV per atom
ΔE_f: 21 kJ/mol of atoms
total magnetization: 0.000 μB per atom

Unit cell a=5.177 b=5.177 c=5.177 alpha=133.78 beta=133.78 gamma=67.44
Positions (direct):
In1 0.000 0.000 0.000
P1 0.500 0.500 0.000
Au1 0.250 0.750 0.500
Au2 0.750 0.250 0.500



Entry 2:
The following is a SCAN calculation of YReS2 at its PBEsol-relaxed geometry, from Alexandria.

ρ: 6.72 g/cm3
E: -30.257 eV per atom
total magnetization: 0.000 μB per atom

Unit cell a=7.502 b=7.502 c=7.502 alpha=140.76 beta=140.76 gamma=56.70
Positions (direct):
Y1 0.000 0.000 0.000
Y2 0.750 0.250 0.500
Re1 0.250 0.750 0.500
Re2 0.500 0.500 0.000
S1 0.191 0.625 0.066
S2 0.375 0.441 0.566
S3 0.559 0.125 0.934
S4 0.875 0.809 0.434



Entry 3:
The following is a SCAN calculation of Mn2SiPb at its PBEsol-relaxed geometry, from Alexandria.

ρ: 9.52 g/cm3
E: -30.339 eV per atom
total magnetization: 1.354 μB per atom

Unit cell a=4.647 b=4.647 c=4.647 alpha=134.75 beta=119.38 gamma=78.78
Positions (direct):
Mn1 0.209 0.209 0.000
Mn2 0.791 0.791 0.000
Si1 0.000 0.500 0.500
Pb1 0.500 0.000 0.500



Entry 4:
The following is a SCAN calculation of YTmAg2 at its PBEsol-relaxed geometry, from Alexandria.

ρ: 8.79 g/cm3
E: -36.010 eV per atom
ΔE_f: -39 kJ/mol of atoms
total magnetization: 0.000 μB per atom

Unit cell a=5.021 b=5.021 c=5.021 alpha=60.00 beta=60.00 gamma=60.00
Positions (direct):
Y1 0.000 0.000 0.000
Tm1 0.500 0.500 0.500
Ag1 0.250 0.250 0.250
Ag2 0.750 0.750 0.750



Entry 5:
The following is a SCAN calculation of K2ZnTc at its PBEsol-relaxed geometry, from Alexandria.

ρ: 4.59 g/cm3
E: -15.211 eV per atom
ΔE_f: 106 kJ/mol of atoms
total magnetization: 0.298 μB per atom

Unit cell a=3.971 b=3.971 c=5.542 alpha=90.00 beta=90.00 gamma=90.00
Positions (direct):
K1 0.000 0.500 0.000
K2 0.500 0.000 0.000
Zn1 0.000 0.000 0.500
Tc1 0.500 0.500 0.500



Entry 6:
The following is a SCAN calculation of SbOsN2 at its PBEsol-relaxed geometry, from Alexandria.

ρ: 9.32 g/cm3
E: -31.092 eV per atom
total magnetization: 0.000 μB per atom

Unit cell a=5.772 b=5.772 c=5.772 alpha=126.11 beta=126.11 gamma=79.70
Positions (direct):
Sb1 0.000 0.000 0.000
Sb2 0.750 0.250 0.500
Os1 0.250 0.750 0.500
Os2 0.500 0.500 0.000
N1 0.212 0.125 0.587
N2 0.375 0.788 0.913
N3 0.538 0.625 0.413
N4 0.875 0.462 0.087



Entry 7:
The following is a SCAN calculation of ZrNi4Ir at its PBEsol-relaxed geometry, from Alexandria.

ρ: 11.62 g/cm3
E: -28.166 eV per atom
ΔE_f: -40 kJ/mol of atoms
total magnetization: 0.270 μB per atom

Unit cell a=4.714 b=4.714 c=4.714 alpha=60.00 beta=60.00 gamma=60.00
Positions (direct):
Zr1 0.000 0.000 0.000
Ni1 0.376 0.376 0.376
Ni2 0.376 0.376 0.872
Ni3 0.376 0.872 0.376
Ni4 0.872 0.376 0.376
Ir1 0.750 0.750 0.750



Entry 8:
The following is a SCAN calculation of La2Cu2O5 at its PBEsol-relaxed geometry, from Alexandria.

ρ: 7.46 g/cm3
E: -18.833 eV per atom
polymorph energy (0 for the lowest one): 0.0162 eV per atom
total magnetization: 0.000 μB per atom

Unit cell a=5.366 b=10.383 c=3.872 alpha=90.00 beta=90.00 gamma=90.00
Positions (direct):
La1 0.194 0.138 0.000
La2 0.306 0.638 0.000
La3 0.694 0.362 0.000
La4 0.806 0.862 0.000
Cu1 0.201 0.395 0.500
Cu2 0.299 0.895 0.500
Cu3 0.701 0.105 0.500
Cu4 0.799 0.605 0.500
O1 0.000 0.000 0.500
O2 0.079 0.716 0.500
O3 0.207 0.396 0.000
O4 0.293 0.896 0.000
O5 0.421 0.216 0.500
O6 0.500 0.500 0.500
O7 0.579 0.784 0.500
O8 0.707 0.104 0.000
O9 0.793 0.604 0.000
O10 0.921 0.284 0.500



Entry 9:
The following is a SCAN calculation of RbSr2I5 at its PBEsol-relaxed geometry, from Alexandria.

ρ: 4.70 g/cm3
E: -32.957 eV per atom
total magnetization: 0.000 μB per atom

Unit cell a=10.012 b=8.920 c=14.162 alpha=90.00 beta=90.13 gamma=90.00
Positions (direct):
Rb1 0.008 0.054 0.331
Rb2 0.008 0.446 0.831
Rb3 0.992 0.554 0.169
Rb4 0.992 0.946 0.669
Sr1 0.251 0.575 0.493
Sr2 0.251 0.925 0.993
Sr3 0.498 0.528 0.180
Sr4 0.498 0.972 0.680
Sr5 0.502 0.028 0.320
Sr6 0.502 0.472 0.820
Sr7 0.749 0.075 0.007
Sr8 0.749 0.425 0.507
I1 0.040 0.177 0.082
I2 0.040 0.323 0.582
I3 0.270 0.689 0.718
I4 0.270 0.811 0.218
I5 0.282 0.164 0.816
I6 0.282 0.336 0.316
I7 0.284 0.542 0.998
I8 0.284 0.958 0.498
I9 0.458 0.164 0.098
I10 0.458 0.336 0.598
I11 0.542 0.664 0.402
I12 0.542 0.836 0.902
I13 0.716 0.042 0.502
I14 0.716 0.458 0.002
I15 0.718 0.664 0.684
I16 0.718 0.836 0.184
I17 0.730 0.189 0.782
I18 0.730 0.311 0.282
I19 0.960 0.677 0.418
I20 0.960 0.823 0.918



Entry 10:
The following is a SCAN calculation of KLaRe at its PBEsol-relaxed geometry, from Alexandria.

ρ: 6.75 g/cm3
E: -39.813 eV per atom
ΔE_f: 99 kJ/mol of atoms
total magnetization: 0.000 μB per atom

Unit cell a=8.276 b=8.276 c=8.276 alpha=156.56 beta=156.56 gamma=33.39
Positions (direct):
K1 0.000 0.000 0.000
La1 0.746 0.746 0.000
Re1 0.350 0.350 0.000



Entry 11:
The following is a SCAN calculation of CrSO2 at its PBEsol-relaxed geometry, from Alexandria.

ρ: 3.17 g/cm3
E: -10.984 eV per atom
total magnetization: 0.001 μB per atom

Unit cell a=5.560 b=5.560 c=5.560 alpha=60.00 beta=60.00 gamma=60.00
Positions (direct):
Cr1 0.125 0.125 0.125
Cr2 0.875 0.875 0.875
S1 0.375 0.375 0.375
S2 0.625 0.625 0.625
O1 0.000 0.000 0.000
O2 0.000 0.000 0.500
O3 0.000 0.500 0.000
O4 0.500 0.000 0.000



Entry 12:
The following is a SCAN calculation of Tl2PtCl at its PBEsol-relaxed geometry, from Alexandria.

ρ: 12.56 g/cm3
E: -55.954 eV per atom
polymorph energy (0 for the lowest one): 0.1067 eV per atom
total magnetization: 0.000 μB per atom

Unit cell a=5.248 b=5.248 c=3.081 alpha=93.40 beta=93.40 gamma=90.10
Positions (direct):
Tl1 0.000 0.500 0.000
Tl2 0.500 0.000 0.000
Pt1 0.000 0.000 0.500
Cl1 0.500 0.500 0.500



Entry 13:
The following is a SCAN calculation of K3Ni at its PBEsol-relaxed geometry, from Alexandria.

ρ: 1.65 g/cm3
E: -9.753 eV per atom
ΔE_f: 52 kJ/mol of atoms
total magnetization: 0.193 μB per atom

Unit cell a=3.978 b=3.978 c=11.219 alpha=90.00 beta=90.00 gamma=90.00
Positions (direct):
K1 0.000 0.000 0.000
K2 0.500 0.500 0.343
K3 0.500 0.500 0.657
Ni1 0.000 0.000 0.500



Entry 14:
The following is a SCAN calculation of PrGa2Ni3 at its PBEsol-relaxed geometry, from Alexandria.

ρ: 8.35 g/cm3
E: -21.294 eV per atom
ΔE_f: -52 kJ/mol of atoms
total magnetization: 0.000 μB per atom

Unit cell a=8.790 b=8.790 c=4.071 alpha=90.00 beta=90.00 gamma=120.00
Positions (direct):
Pr1 0.000 0.000 0.000
Pr2 0.333 0.667 0.500
Pr3 0.667 0.333 0.500
Ga1 0.000 0.274 0.500
Ga2 0.000 0.524 0.000
Ga3 0.274 0.000 0.500
Ga4 0.476 0.476 0.000
Ga5 0.524 0.000 0.000
Ga6 0.726 0.726 0.500
Ni1 0.000 0.710 0.500
Ni2 0.170 0.372 0.000
Ni3 0.202 0.830 0.000
Ni4 0.290 0.290 0.500
Ni5 0.372 0.170 0.000
Ni6 0.628 0.798 0.000
Ni7 0.710 0.000 0.500
Ni8 0.798 0.628 0.000
Ni9 0.830 0.202 0.000



Entry 15:
The following is a SCAN calculation of ZnCrPt2 at its PBEsol-relaxed geometry, from Alexandria.

ρ: 14.87 g/cm3
E: -43.423 eV per atom
ΔE_f: -34 kJ/mol of atoms
total magnetization: 0.850 μB per atom

Unit cell a=4.535 b=4.535 c=4.768 alpha=100.73 beta=100.73 gamma=36.10
Positions (direct):
Zn1 0.000 0.000 0.000
Cr1 0.500 0.500 0.500
Pt1 0.248 0.248 0.747
Pt2 0.752 0.752 0.253



Entry 16:
The following is a SCAN calculation of Zr2BeGaSb at its PBEsol-relaxed geometry, from Alexandria.

ρ: 6.76 g/cm3
E: -24.045 eV per atom
total magnetization: 0.000 μB per atom

Unit cell a=4.828 b=4.828 c=4.034 alpha=90.00 beta=90.00 gamma=90.00
Positions (direct):
Zr1 0.000 0.500 0.000
Zr2 0.500 0.000 0.000
Be1 0.000 0.000 0.000
Ga1 0.000 0.000 0.500
Sb1 0.500 0.500 0.500



Entry 17:
The following is a SCAN calculation of SrZn2Ni at its PBEsol-relaxed geometry, from Alexandria.

ρ: 5.59 g/cm3
E: -16.361 eV per atom
ΔE_f: 1 kJ/mol of atoms
total magnetization: 0.000 μB per atom

Unit cell a=4.060 b=4.078 c=5.231 alpha=90.00 beta=108.19 gamma=90.00
Positions (direct):
Sr1 0.000 0.000 0.000
Zn1 0.326 0.500 0.663
Zn2 0.674 0.500 0.337
Ni1 0.500 0.000 0.500



Entry 18:
The following is a SCAN calculation of NaLaMo2O8 at its PBEsol-relaxed geometry, from Alexandria.

ρ: 4.92 g/cm3
E: -16.567 eV per atom
total magnetization: 0.000 μB per atom

Unit cell a=6.879 b=6.879 c=6.879 alpha=134.59 beta=134.59 gamma=66.17
Positions (direct):
Na1 0.000 0.000 0.000
La1 0.250 0.750 0.500
Mo1 0.500 0.500 0.000
Mo2 0.750 0.250 0.500
O1 0.271 0.649 0.093
O2 0.351 0.444 0.621
O3 0.428 0.018 0.112
O4 0.556 0.177 0.907
O5 0.684 0.572 0.590
O6 0.823 0.729 0.379
O7 0.907 0.316 0.888
O8 0.982 0.093 0.410



Entry 19:
The following is a SCAN calculation of TcPtO3 at its PBEsol-relaxed geometry, from Alexandria.

ρ: 9.30 g/cm3
E: -24.657 eV per atom
total magnetization: 0.954 μB per atom

Unit cell a=3.934 b=3.934 c=3.934 alpha=90.00 beta=90.00 gamma=90.00
Positions (direct):
Tc1 0.000 0.000 0.000
Pt1 0.500 0.500 0.500
O1 0.000 0.500 0.500
O2 0.500 0.000 0.500
O3 0.500 0.500 0.000



Entry 20:
The following is a SCAN calculation of Sr4AlNi at its PBEsol-relaxed geometry, from Alexandria.

ρ: 3.55 g/cm3
E: -17.873 eV per atom
ΔE_f: 93 kJ/mol of atoms
total magnetization: 0.148 μB per atom

Unit cell a=6.606 b=6.606 c=6.606 alpha=60.00 beta=60.00 gamma=60.00
Positions (direct):
Sr1 0.125 0.125 0.125
Sr2 0.125 0.125 0.625
Sr3 0.125 0.625 0.125
Sr4 0.625 0.125 0.125
Al1 0.500 0.500 0.500
Ni1 0.750 0.750 0.750



Entry 21:
The following is a SCAN calculation of ZnPtPb at its PBEsol-relaxed geometry, from Alexandria.

ρ: 13.39 g/cm3
E: -53.258 eV per atom
ΔE_f: -9 kJ/mol of atoms
total magnetization: 0.000 μB per atom

Unit cell a=5.891 b=5.891 c=5.891 alpha=147.76 beta=147.76 gamma=46.24
Positions (direct):
Zn1 0.000 0.000 0.000
Pt1 0.602 0.602 0.000
Pb1 0.283 0.283 0.000



Entry 22:
The following is a SCAN calculation of Y2HPb at its PBEsol-relaxed geometry, from Alexandria.

ρ: 7.03 g/cm3
E: -34.037 eV per atom
total magnetization: 0.000 μB per atom

Unit cell a=5.051 b=5.051 c=5.051 alpha=60.00 beta=60.00 gamma=60.00
Positions (direct):
Y1 0.250 0.250 0.250
Y2 0.750 0.750 0.750
H1 0.000 0.000 0.000
Pb1 0.500 0.500 0.500



Entry 23:
The following is a SCAN calculation of KLi4Cr at its PBEsol-relaxed geometry, from Alexandria.

ρ: 1.36 g/cm3
E: -5.749 eV per atom
ΔE_f: 29 kJ/mol of atoms
total magnetization: 0.849 μB per atom

Unit cell a=5.901 b=5.901 c=5.901 alpha=60.00 beta=60.00 gamma=60.00
Positions (direct):
K1 0.000 0.000 0.000
Li1 0.378 0.378 0.378
Li2 0.378 0.378 0.866
Li3 0.378 0.866 0.378
Li4 0.866 0.378 0.378
Cr1 0.750 0.750 0.750



Entry 24:
The following is a SCAN calculation of NdMn12 at its PBEsol-relaxed geometry, from Alexandria.

ρ: 8.73 g/cm3
E: -20.144 eV per atom
ΔE_f: 6 kJ/mol of atoms
total magnetization: 0.076 μB per atom

Unit cell a=6.245 b=6.245 c=6.245 alpha=97.47 beta=97.47 gamma=137.73
Positions (direct):
Nd1 0.000 0.000 0.000
Mn1 0.000 0.000 0.500
Mn2 0.000 0.365 0.365
Mn3 0.000 0.500 0.000
Mn4 0.000 0.635 0.635
Mn5 0.270 0.500 0.770
Mn6 0.365 0.000 0.365
Mn7 0.500 0.000 0.000
Mn8 0.500 0.270 0.770
Mn9 0.500 0.500 0.500
Mn10 0.500 0.730 0.230
Mn11 0.635 0.000 0.635
Mn12 0.730 0.500 0.230



Entry 25:
The following is a SCAN calculation of ZrRe2Cl at its PBEsol-relaxed geometry, from Alexandria.

ρ: 12.41 g/cm3
E: -45.119 eV per atom
polymorph energy (0 for the lowest one): 0.2298 eV per atom
total magnetization: 0.000 μB per atom

Unit cell a=5.536 b=5.536 c=4.195 alpha=91.91 beta=91.91 gamma=31.33
Positions (direct):
Zr1 0.000 0.000 0.000
Re1 0.283 0.283 0.776
Re2 0.717 0.717 0.224
Cl1 0.500 0.500 0.500